## Tl2CdSeF (PBE-GGA)

Data for Tl2CdSeF after structural relaxation.

Geometry as POSCAR:
```
Tl2CdSeF
1.0
-5.279 1.711 2.657
1.123 -2.035 3.541
2.706 5.117 2.082
F Tl Cd Se
1 2 1 1
Cartesian
0.561 -1.017 1.770
1.353 2.559 1.041
-2.639 0.855 1.328
-0.725 2.397 4.140
0.000 0.000 0.000
```

Values from the calculation:
**V**: 160.3 Å³ per cell
**Total magnetization**: 0.00 μB per formula unit
**Total DFT energy (no corrections)**: -0.0917 hartree per atom
**Mass density**: 6.4 g cm⁻³
**Space-group type**: No. 123